First-principles (PBE-GGA) data for ReIrBr2 after structural relaxation, as listed in the Alexandria database.

Lattice parameters (Å, degrees): 5.866 8.948 3.090 90.00 117.70 90.00
Space group C2/m (No. 12)
Unique sites:
Re 0.000 0.000 0.000 [2 per cell]
Ir 0.000 0.500 0.000 [2 per cell]
Br 0.250 0.250 0.000 [4 per cell]

Computed properties:
Relative energy among the computed polymorphs   1049 meV/atom
E   -38.91 eV per cell
Raw formation energy   1300 meV/atom